[1]
Nd2Sm4Er, optimized geometry, DFT PBE-GGA; calculated volume = 965.9 Å³/cell; crystal system = orthorhombic; formation energy from the elements = 0.18 eV per atom; excess energy over the best structure of this formula in the dataset = 0.163 eV per atom
1.0
13.353 0.000 0.000
0.000 6.616 0.000
0.000 0.000 10.934
Nd Sm Er
8 16 4
Direct
0.925 0.000 0.834
0.425 0.500 0.166
0.075 0.500 0.666
0.575 0.000 0.334
0.075 0.000 0.166
0.575 0.500 0.834
0.925 0.500 0.334
0.425 0.000 0.666
0.750 0.750 0.519
0.250 0.750 0.481
0.250 0.250 0.981
0.750 0.250 0.019
0.250 0.250 0.481
0.750 0.250 0.519
0.750 0.750 0.019
0.250 0.750 0.981
0.162 0.000 0.736
0.662 0.500 0.264
0.838 0.500 0.764
0.338 0.000 0.236
0.838 0.000 0.264
0.338 0.500 0.736
0.162 0.500 0.236
0.662 0.000 0.764
0.000 0.000 0.500
0.500 0.500 0.500
0.000 0.500 0.000
0.500 0.000 0.000

[2]
NdSm4Er5, optimized geometry, DFT PBE-GGA; calculated volume = 331.0 Å³/cell; crystal system = tetragonal; formation energy from the elements = 0.29 eV per atom; excess energy over the best structure of this formula in the dataset = 0.097 eV per atom
1.0
-0.722 5.427 3.022
-2.026 -0.900 7.602
6.671 2.612 3.373
Nd Sm Er
1 4 5
Direct
0.221 0.000 0.000
0.405 0.397 0.699
0.803 0.699 0.603
0.104 0.301 0.397
0.501 0.603 0.301
0.799 0.379 0.919
0.179 0.919 0.621
0.718 0.081 0.379
0.097 0.621 0.081
0.682 0.000 0.000

Number 1: M_tot 0.00 μB per formula unit. Number 2: M_tot 0.00 μB per formula unit.